1.
CuC3: relaxed, PBE-GGA.

The calculation puts the size of the total moment at 0.002 μB per atom. The energy of formation is 2.6500 eV per atom. As for the total energy: -5.2919 eV/atom. The value obtained for the offset from the most stable computed form is 2049 meV/atom.

The space group is P6_3/mmc (No. 194) and the conventional cell measures 4.0825, 4.0825 and 13.0211 Å, with angles of 90.00, 90.00 and 120.00 degrees. The asymmetric unit holds Cu at (0.0000, 0.0000, 0.0000), Cu at (0.3333, 0.6667, 0.2500), C at (0.0000, 0.5000, 0.0000) and C at (0.2166, 0.4332, 0.7500).

2.
CrCuGe2Br: relaxed, PBE-GGA.

The calculation puts the size of the total moment at 0.420 μB per atom. As for the formation energy from raw total energies: 0.65 eV per atom. As for the total energy: -4.2713 eV/atom.

The space group is P4/mmm (No. 123) and the conventional cell measures 4.752, 4.752 and 4.965 Å, with angles of 90.00, 90.00 and 90.00 degrees. The asymmetric unit holds Cr at (0.000, 0.000, 0.000), Cu at (0.500, 0.500, 0.500), Ge at (0.000, 0.500, 0.000) and Br at (0.000, 0.000, 0.500).